Material: Tc3C
Method: DFT, PBE
State: optimized geometry

Geometry as POSCAR:
```
Tc3C
1.0
4.861 0.006 0.000
2.364 4.247 0.000
-3.612 -2.126 2.460
C Tc
1 3
Direct
0.000 0.000 0.000
0.250 0.750 0.500
0.500 0.500 0.000
0.750 0.250 0.500
```

Calculated values
- energy relative to the lowest polymorph listed for this composition (eV per formula unit) = 4.07
- raw total energy (eV per atom) = -9.05
- energy of formation (eV/atom) = 1.03
- space-group type = I4/mmm (139)
- volume (Å³/cell) = 51

***

Material: TcC
Method: DFT, PBE
State: optimized geometry

Geometry as POSCAR:
```
TcC
1.0
2.153 -3.729 0.000
2.153 3.729 0.000
0.000 0.000 5.659
Tc C
4 4
Direct
0.000 0.000 0.250
0.000 0.000 0.750
0.333 0.667 0.750
0.667 0.333 0.250
0.333 0.667 0.131
0.667 0.333 0.631
0.667 0.333 0.869
0.333 0.667 0.369
```

Calculated values
- energy relative to the lowest polymorph listed for this composition (eV per formula unit) = 2.16
- raw total energy (eV per atom) = -8.50
- energy of formation (eV/atom) = 1.30
- space-group type = P6_3/mmc (194)
- volume (Å³/cell) = 91